Here is a relaxed structure of TmHPb2 from Alexandria via LeMat-Bulk. Energies are from GGA-PBE.

The structure belongs to space group Cm (No. 8); the cell edges are 6.252, 3.681 and 8.448 Å and the angles 90.00°, 109.35° and 90.00°. The distinct sites, in fractional coordinates, are Tm at (0.000, 0.000, 0.000), H at (0.340, 0.000, 0.005), Pb at (0.032, 0.500, 0.670) and Pb at (0.315, 0.500, 0.331).

For the size of the total moment, the calculation gives 0.0 μB/f.u. The density of states at the Fermi level is 2.839 states/eV/f.u. The calculation puts the density at 10.6 Mg/m³. The value obtained for the energy is -4.042 eV/atom.

---

Here is a relaxed structure of Tm6HPb5 from Alexandria via LeMat-Bulk. Energies are from GGA-PBE.

The structure belongs to space group C2/m (No. 12); the cell edges are 8.054, 15.586 and 6.132 Å and the angles 90.00°, 122.30° and 90.00°. The distinct sites, in fractional coordinates, are Tm at (0.184, 0.000, 0.356), Tm at (0.248, 0.170, 0.757), H at (0.000, 0.000, 0.500), Pb at (0.000, 0.160, 0.000), Pb at (0.000, 0.346, 0.500) and Pb at (0.000, 0.500, 0.000).

For the size of the total moment, the calculation gives 0.0 μB/f.u. The density of states at the Fermi level is 8.361 states/eV/f.u. The calculation puts the density at 10.5 Mg/m³. The value obtained for the energy is -4.349 eV/atom.

---

Here is a relaxed structure of Tm4H2Pb3 from Alexandria via LeMat-Bulk. Energies are from GGA-PBE.

The structure belongs to space group C2/c (No. 15); the cell edges are 13.384, 9.541 and 6.470 Å and the angles 90.00°, 103.87° and 90.00°. The distinct sites, in fractional coordinates, are Tm at (0.115, 0.231, 0.033), Tm at (0.196, 0.423, 0.593), H at (0.227, 0.367, 0.933), Pb at (0.000, 0.491, 0.250) and Pb at (0.110, 0.109, 0.562).

The calculation puts the energy above the most stable polymorph in this dataset at 0.0025 eV/atom. For the size of the total moment, the calculation gives 0.0 μB/f.u. The density of states at the Fermi level is 4.629 states/eV/f.u. The calculation puts the density at 10.8 Mg/m³.